Arrangement 1

This record from the Alexandria database describes a geometry-optimized PmPr2Si structure. The functional is PBE.

Properties
D(E_F), states/eV per cell: 4.02

a b c (Å): 4.7898 4.7898 4.8238
angles (deg): 90.00 90.00 90.00
Space group P4/mmm (No. 123)
Asymmetric unit:
Pm 0.0000 0.0000 0.0000
Pr 0.0000 0.5000 0.5000
Si 0.5000 0.5000 0.0000

---

Arrangement 2

This record from the Alexandria database describes a geometry-optimized PmPr2Si structure. The functional is PBE.

Properties
D(E_F), states/eV per cell: 21.65

a b c (Å): 3.9395 3.9395 31.8843
angles (deg): 90.00 90.00 120.00
Space group R-3m (No. 166, hexagonal axes)
Asymmetric unit:
Pm 0.0000 0.0000 0.0000
Pr 0.0000 0.0000 0.1110
Si 0.0000 0.0000 0.5000

---

Energies relative to the most stable structure are arrangement 1 0; arrangement 2 290, reported in meV/atom.

---

Arrangement 1

This record from the Alexandria database describes a geometry-optimized Pm2PrSi structure. The functional is PBE.

Properties
D(E_F), states/eV per cell: 17.44

a b c (Å): 3.7211 3.7211 33.1642
angles (deg): 90.00 90.00 120.00
Space group R-3m (No. 166, hexagonal axes)
Asymmetric unit:
Pm 0.0000 0.0000 0.1088
Pr 0.0000 0.0000 0.0000
Si 0.0000 0.0000 0.5000

---

Arrangement 2

This record from the Alexandria database describes a geometry-optimized Pm2PrSi structure. The functional is PBE.

Properties
D(E_F), states/eV per cell: 19.66

a b c (Å): 7.9434 9.3316 6.4496
angles (deg): 90.00 90.00 90.00
Space group Pnma (No. 62)
Asymmetric unit:
Pm 0.1862 0.0541 0.1304
Pr 0.0306 0.2500 0.6296
Si 0.1180 0.7500 0.9245

---

Energies relative to the most stable structure are arrangement 1 361; arrangement 2 0, reported in meV/atom.

---

Arrangement 1

This record from the Alexandria database describes a geometry-optimized PmPrSi4 structure. The functional is PBE.

Properties
D(E_F), states/eV per cell: 5.39

a b c (Å): 4.2758 4.2758 13.6624
angles (deg): 90.00 90.00 90.00
Space group I-4m2 (No. 119)
Asymmetric unit:
Pm 0.0000 0.0000 0.0000
Pr 0.0000 0.5000 0.7500
Si 0.0000 0.0000 0.4150
Si 0.0000 0.5000 0.1640

---

Arrangement 2

This record from the Alexandria database describes a geometry-optimized PmPrSi4 structure. The functional is PBE.

Properties
D(E_F), states/eV per cell: 17.40

a b c (Å): 7.7180 7.7180 7.7180
angles (deg): 90.00 90.00 90.00
Space group F-43m (No. 216)
Asymmetric unit:
Pm 0.0000 0.0000 0.0000
Pr 0.2500 0.2500 0.7500
Si 0.1264 0.1264 0.3736

---

Energies relative to the most stable structure are arrangement 1 0; arrangement 2 308, reported in meV/atom.

---

Arrangement 1

This record from the Alexandria database describes a geometry-optimized PmPr2Si2 structure. The functional is PBE.

Properties
D(E_F), states/eV per cell: 10.50

a b c (Å): 7.7776 7.7776 4.4007
angles (deg): 90.00 90.00 90.00
Space group P4/mbm (No. 127)
Asymmetric unit:
Pm 0.0000 0.0000 0.0000
Pr 0.1773 0.3227 0.5000
Si 0.1112 0.6112 0.0000

---

Arrangement 2

This record from the Alexandria database describes a geometry-optimized PmPr2Si2 structure. The functional is PBE.

Properties
D(E_F), states/eV per cell: 16.66

a b c (Å): 12.5469 4.4246 10.8897
angles (deg): 90.00 116.24 90.00
Space group C2/m (No. 12)
Asymmetric unit:
Pm 0.2220 0.0000 0.3616
Pr 0.0147 0.5000 0.6881
Pr 0.1792 0.5000 0.0880
Si 0.0168 0.0000 0.8987
Si 0.1069 0.0000 0.5543

---

Energies relative to the most stable structure are arrangement 1 0; arrangement 2 67, reported in meV/atom.

---

Arrangement 1

This record from the Alexandria database describes a geometry-optimized Pm3Pr2Si4 structure. The functional is PBE.

Properties
D(E_F), states/eV per cell: 21.22

a b c (Å): 6.9864 16.4479 8.4302
angles (deg): 90.00 90.00 90.00
Space group Cmce (No. 64)
Asymmetric unit:
Pm 0.0000 0.0000 0.0000
Pm 0.2500 0.2057 0.2500
Pr 0.0000 0.1064 0.5921
Si 0.0000 0.1875 0.9423
Si 0.2500 0.0291 0.2500

---

Arrangement 2

This record from the Alexandria database describes a geometry-optimized Pm3Pr2Si4 structure. The functional is PBE.

Properties
D(E_F), states/eV per cell: 19.60

a b c (Å): 7.8678 7.9282 7.7616
angles (deg): 90.00 105.43 90.00
Space group P2_1/c (No. 14)
Asymmetric unit:
Pm 0.0000 0.0000 0.0000
Pm 0.2590 0.1826 0.7451
Pr 0.2955 0.6835 0.9040
Si 0.0059 0.6150 0.1174
Si 0.4177 0.0264 0.1114

---

Energies relative to the most stable structure are arrangement 1 212; arrangement 2 0, reported in meV/atom.

---

Arrangement 1

This record from the Alexandria database describes a geometry-optimized PmPrSi3 structure. The functional is PBE.

Properties
D(E_F), states/eV per cell: 8.04

a b c (Å): 4.3642 24.9445 4.0185
angles (deg): 90.00 90.00 90.00
Space group Cmcm (No. 63)
Asymmetric unit:
Pm 0.0000 0.2020 0.2500
Pr 0.0000 0.0694 0.7500
Si 0.0000 0.3240 0.2500
Si 0.0000 0.3808 0.7500
Si 0.0000 0.4753 0.7500

---

Arrangement 2

This record from the Alexandria database describes a geometry-optimized PmPrSi3 structure. The functional is PBE.

Properties
D(E_F), states/eV per cell: 9.99

a b c (Å): 4.3426 25.0161 4.0331
angles (deg): 90.00 90.00 90.00
Space group Cmcm (No. 63)
Asymmetric unit:
Pm 0.0000 0.0682 0.2500
Pr 0.0000 0.2017 0.7500
Si 0.0000 0.3267 0.7500
Si 0.0000 0.3825 0.2500
Si 0.0000 0.4760 0.2500

---

Energies relative to the most stable structure are arrangement 1 0; arrangement 2 25, reported in meV/atom.

---

Arrangement 1

This record from the Alexandria database describes a geometry-optimized PmPrZnSi structure. The functional is PBE.

Properties
D(E_F), states/eV per cell: 11.13

a b c (Å): 7.2956 7.2956 7.2956
angles (deg): 90.00 90.00 90.00
Space group F-43m (No. 216)
Asymmetric unit:
Pm 0.0000 0.0000 0.0000
Pr 0.0000 0.0000 0.5000
Zn 0.2500 0.2500 0.7500
Si 0.2500 0.2500 0.2500

---

Arrangement 2

This record from the Alexandria database describes a geometry-optimized PmPrZnSi structure. The functional is PBE.

Properties
D(E_F), states/eV per cell: 7.70

a b c (Å): 4.1557 4.3497 11.1659
angles (deg): 90.00 90.00 90.00
Space group Amm2 (No. 38)
Asymmetric unit:
Pm 0.0000 0.0000 0.0000
Pr 0.5000 0.0000 0.7143
Zn 0.5000 0.0000 0.4233
Si 0.0000 0.0000 0.2887

---

Energies relative to the most stable structure are arrangement 1 85; arrangement 2 0, reported in meV/atom.

---

Arrangement 1

This record from the Alexandria database describes a geometry-optimized Pm4PrSm5 structure. The functional is PBE.

Properties
D(E_F), states/eV per cell: 29.11

a b c (Å): 10.6150 10.6150 6.2159
angles (deg): 90.00 90.00 90.00
Space group I4mm (No. 107)
Asymmetric unit:
Pm 0.0000 0.3269 0.0000
Pr 0.0000 0.0000 0.2550
Sm 0.0000 0.0000 0.7893
Sm 0.1895 0.1895 0.5277

---

Arrangement 2

This record from the Alexandria database describes a geometry-optimized Pm4PrSm5 structure. The functional is PBE.

Properties
D(E_F), states/eV per cell: 14.56

a b c (Å): 3.6244 9.3288 11.0619
angles (deg): 77.57 89.97 79.02
Space group P-1 (No. 2)
Asymmetric unit:
Pm 0.0209 0.4567 0.2622
Pm 0.3278 0.8536 0.7758
Pr 0.5000 0.5000 0.0000
Sm 0.1618 0.1732 0.9129
Sm 0.1670 0.1623 0.5256
Sm 0.5000 0.5000 0.5000

---

Energies relative to the most stable structure are arrangement 1 26; arrangement 2 0, reported in meV/atom.

---

Arrangement 1

This record from the Alexandria database describes a geometry-optimized Pm5Pr2Sm3 structure. The functional is PBE.

Properties
D(E_F), states/eV per cell: 60.48

a b c (Å): 9.5700 22.2097 6.9377
angles (deg): 90.00 90.00 90.00
Space group Ibam (No. 72)
Asymmetric unit:
Pm 0.0000 0.0000 0.2500
Pm 0.0000 0.2513 0.2500
Pm 0.0918 0.1267 0.0000
Pr 0.1004 0.3772 0.5000
Sm 0.0000 0.5000 0.2500
Sm 0.2503 0.1237 0.5000

---

Arrangement 2

This record from the Alexandria database describes a geometry-optimized Pm5Pr2Sm3 structure. The functional is PBE.

Properties
D(E_F), states/eV per cell: 71.67

a b c (Å): 10.9431 16.2422 9.6222
angles (deg): 90.00 124.64 90.00
Space group C2/c (No. 15)
Asymmetric unit:
Pm 0.0000 0.0285 0.2500
Pm 0.0000 0.2242 0.2500
Pm 0.0000 0.2705 0.7500
Pm 0.2331 0.1225 0.7184
Pr 0.1409 0.3735 0.5486
Sm 0.0000 0.4785 0.7500
Sm 0.1570 0.1224 0.0459

---

Energies relative to the most stable structure are arrangement 1 179; arrangement 2 0, reported in meV/atom.

---

Arrangement 1

This record from the Alexandria database describes a geometry-optimized PmPr2Sm structure. The functional is PBE.

Properties
D(E_F), states/eV per cell: 22.57

a b c (Å): 7.4867 6.2958 12.5037
angles (deg): 90.00 107.39 90.00
Space group P2/c (No. 13)
Asymmetric unit:
Pm 0.1875 0.1658 0.3798
Pr 0.3074 0.1662 0.1219
Pr 0.4376 0.3337 0.8780
Sm 0.0582 0.3348 0.6207

---

Arrangement 2

This record from the Alexandria database describes a geometry-optimized PmPr2Sm structure. The functional is PBE.

Properties
D(E_F), states/eV per cell: 16.46

a b c (Å): 3.6798 3.6798 35.9635
angles (deg): 90.00 90.00 120.00
Space group R-3m (No. 166, hexagonal axes)
Asymmetric unit:
Pm 0.0000 0.0000 0.0000
Pr 0.0000 0.0000 0.2498
Sm 0.0000 0.0000 0.5000

---

Energies relative to the most stable structure are arrangement 1 25; arrangement 2 0, reported in meV/atom.

---

Arrangement 1

This record from the Alexandria database describes a geometry-optimized PmPr2Sm structure. The functional is PBE.

Properties
D(E_F), states/eV per cell: 6.75

a b c (Å): 5.2009 5.2009 5.1889
angles (deg): 90.00 90.00 90.00
Space group P4/mmm (No. 123)
Asymmetric unit:
Pm 0.0000 0.0000 0.0000
Pr 0.0000 0.5000 0.5000
Sm 0.5000 0.5000 0.0000

---

Arrangement 2

This record from the Alexandria database describes a geometry-optimized PmPr2Sm structure. The functional is PBE.

Properties
D(E_F), states/eV per cell: 11.07

a b c (Å): 5.7359 3.5998 13.6203
angles (deg): 90.00 90.00 90.00
Space group Amm2 (No. 38)
Asymmetric unit:
Pm 0.0000 0.0000 0.0000
Pr 0.0000 0.0000 0.2555
Pr 0.5000 0.0000 0.3817
Sm 0.5000 0.0000 0.6381

---

Arrangement 3

This record from the Alexandria database describes a geometry-optimized PmPr2Sm structure. The functional is PBE.

Properties
D(E_F), states/eV per cell: 39.45

a b c (Å): 8.2572 8.2572 8.2572
angles (deg): 90.00 90.00 90.00
Space group Fm-3m (No. 225)
Asymmetric unit:
Pm 0.0000 0.0000 0.0000
Pr 0.2500 0.2500 0.2500
Sm 0.0000 0.0000 0.5000

---

Energies relative to the most stable structure are arrangement 1 0; arrangement 2 37; arrangement 3 113, reported in meV/atom.